1.
Density functional theory data (PBE) for a relaxed structure of ZrSiW2.

Summary:
ΔE_f (raw)	-0.085	eV per atom
size of the total moment	0.00	μB/cell
crystal system	tetragonal

Geometry as CIF:
```
data_ZrSiW2
_symmetry_space_group_name_H-M 'P 4 m m'
_symmetry_Int_Tables_number 99
_cell_length_a 3.230
_cell_length_b 3.230
_cell_length_c 6.555
_cell_angle_alpha 90.00
_cell_angle_beta 90.00
_cell_angle_gamma 90.00
loop_
_symmetry_equiv_pos_as_xyz
'x,y,z'
'-y,x,z'
'-x,-y,z'
'y,-x,z'
'-x,y,z'
'y,x,z'
'x,-y,z'
'-y,-x,z'
loop_
_atom_site_label
_atom_site_type_symbol
_atom_site_fract_x
_atom_site_fract_y
_atom_site_fract_z
Zr1 Zr 0.000 0.000 0.000
Si1 Si 0.500 0.500 0.279
W1 W 0.000 0.000 0.477
W2 W 0.500 0.500 0.699
```

2.
Density functional theory data (PBE) for a relaxed structure of PrEuRhPb.

Summary:
size of the total moment	27.36	μB/cell
crystal system	cubic

Geometry as CIF:
```
data_PrEuRhPb
_symmetry_space_group_name_H-M 'F -4 3 m'
_symmetry_Int_Tables_number 216
_symmetry_space_group_name_Hall 'F -4 2 3'
_cell_length_a 7.549
_cell_length_b 7.549
_cell_length_c 7.549
_cell_angle_alpha 90.00
_cell_angle_beta 90.00
_cell_angle_gamma 90.00
loop_
_atom_site_label
_atom_site_type_symbol
_atom_site_fract_x
_atom_site_fract_y
_atom_site_fract_z
Pr1 Pr 0.000 0.000 0.000
Eu1 Eu 0.000 0.000 0.500
Rh1 Rh 0.250 0.250 0.250
Pb1 Pb 0.250 0.250 0.750
```

Number 1: V 17.1 Å³/atom, raw total energy -10.054 eV/atom. Number 2: V 26.9 Å³/atom, raw total energy -6.896 eV/atom.